Entry from the Alexandria database: crystalline SrCaHgW2 at its relaxed geometry (PBE-GGA).

For the density of states at the Fermi level, the calculation gives 5.169 states/eV/cell. Its formation energy is 2.428 eV/atom. As for the symmetry: P4/mmm (123).

a = 4.8507 Å, b = 4.8507 Å, c = 5.6293 Å
α = 90.00°, β = 90.00°, γ = 90.00°
Closest atoms and distances in Å follow each position.
Atoms (fractional coordinates):
Sr 0.0000 0.0000 0.0000  2 Ca 2.81
Ca 0.0000 0.0000 0.5000  4 W 2.43
Hg 0.5000 0.5000 0.0000  4 Sr 3.43, 8 W 3.72
W 0.0000 0.5000 0.5000  2 Ca 2.43
W 0.5000 0.0000 0.5000  2 Ca 2.43